PuSbSe2O | Alexandria | PBE | optimized geometry; raw formation energy = -1.416 eV/atom; volume = 115.1 Å³/f.u.; symmetry = P4/nmm; uncorrected energy = -74.9 eV/cell
1.0
4.0231 0.0000 0.0000
0.0000 4.0231 0.0000
0.0000 0.0000 14.2204
Pu Sb Se O
2 2 4 2
Direct
0.2500 0.2500 0.0827
0.7500 0.7500 0.9173
0.2500 0.2500 0.6289
0.7500 0.7500 0.3711
0.2500 0.2500 0.3905
0.2500 0.2500 0.8144
0.7500 0.7500 0.1856
0.7500 0.7500 0.6095
0.2500 0.7500 0.0000
0.7500 0.2500 0.0000

PuSnSb2O | Alexandria | PBE | optimized geometry; raw formation energy = -1.034 eV/atom; volume = 130.3 Å³/f.u.; symmetry = P4/nmm; uncorrected energy = -73.4 eV/cell
1.0
3.9288 0.0000 0.0000
0.0000 3.9288 0.0000
0.0000 0.0000 16.8796
Pu Sn Sb O
2 2 4 2
Direct
0.2500 0.2500 0.0705
0.7500 0.7500 0.9295
0.2500 0.2500 0.6465
0.7500 0.7500 0.3535
0.2500 0.2500 0.4274
0.2500 0.2500 0.8169
0.7500 0.7500 0.1831
0.7500 0.7500 0.5726
0.2500 0.7500 0.0000
0.7500 0.2500 0.0000

PuTlSbO6 | Alexandria | PBE | optimized geometry; raw formation energy = -1.779 eV/atom; volume = 157.5 Å³/f.u.; symmetry = Imma; uncorrected energy = -133.2 eV/cell
1.0
-3.7018 3.9330 5.4104
3.7018 -3.9330 5.4104
3.7018 3.9330 -5.4104
Pu Tl Sb O
2 2 2 12
Direct
0.0000 0.0000 0.0000
0.5000 0.0000 0.5000
0.3197 0.5697 0.7500
0.6803 0.4303 0.2500
0.0000 0.0000 0.5000
0.0000 0.5000 0.0000
0.0567 0.3215 0.1298
0.0567 0.9268 0.7352
0.0700 0.3200 0.7500
0.3084 0.0732 0.6298
0.3084 0.6785 0.2352
0.3126 0.0626 0.2500
0.6874 0.9374 0.7500
0.6916 0.3215 0.7648
0.6916 0.9268 0.3702
0.9300 0.6800 0.2500
0.9433 0.0732 0.2648
0.9433 0.6785 0.8702

Pu3Tl2SbO12 | Alexandria | PBE | optimized geometry; raw formation energy = -2.047 eV/atom; volume = 332.5 Å³/f.u.; symmetry = R-3m; uncorrected energy = -148.2 eV/cell
1.0
3.9352 2.2720 6.1978
-3.9352 2.2720 6.1978
0.0000 -4.5440 6.1978
Pu Tl Sb O
3 2 1 12
Direct
0.0000 0.5000 0.5000
0.5000 0.0000 0.5000
0.5000 0.5000 0.0000
0.1649 0.1649 0.1649
0.8351 0.8351 0.8351
0.5000 0.5000 0.5000
0.1859 0.1859 0.5530
0.1859 0.5530 0.1859
0.1937 0.5631 0.5631
0.4369 0.4369 0.8063
0.4369 0.8063 0.4369
0.4470 0.8141 0.8141
0.5530 0.1859 0.1859
0.5631 0.1937 0.5631
0.5631 0.5631 0.1937
0.8063 0.4369 0.4369
0.8141 0.4470 0.8141
0.8141 0.8141 0.4470

TmPuSbO6 | Alexandria | PBE | optimized geometry; raw formation energy = -2.386 eV/atom; volume = 131.0 Å³/f.u.; symmetry = P-31c; uncorrected energy = -148.3 eV/cell
1.0
5.6940 0.0000 0.0000
-2.8470 4.9311 0.0000
0.0000 0.0000 9.3302
Tm Pu Sb O
2 2 2 12
Direct
0.3333 0.6667 0.2500
0.6667 0.3333 0.7500
0.3333 0.6667 0.7500
0.6667 0.3333 0.2500
0.0000 0.0000 0.0000
0.0000 0.0000 0.5000
0.0203 0.3543 0.6325
0.0203 0.6661 0.8675
0.3339 0.3543 0.8675
0.3339 0.9797 0.6325
0.3543 0.0203 0.1325
0.3543 0.3339 0.3675
0.6457 0.6661 0.6325
0.6457 0.9797 0.8675
0.6661 0.0203 0.3675
0.6661 0.6457 0.1325
0.9797 0.3339 0.1325
0.9797 0.6457 0.3675

YPuSbO2 | Alexandria | PBE | optimized geometry; raw formation energy = -2.457 eV/atom; volume = 97.9 Å³/f.u.; symmetry = I4mm; uncorrected energy = -47.1 eV/cell
1.0
-1.9437 1.9437 6.4771
1.9437 -1.9437 6.4771
1.9437 1.9437 -6.4771
Y Pu Sb O
1 1 1 2
Direct
0.0000 0.0000 0.0000
0.3179 0.3179 0.0000
0.6615 0.6615 0.0000
0.4105 0.9105 0.5000
0.9105 0.4105 0.5000

PuZnSbO6 | Alexandria | PBE | optimized geometry; raw formation energy = -1.753 eV/atom; volume = 116.2 Å³/f.u.; symmetry = P-31c; uncorrected energy = -130.5 eV/cell
1.0
5.4462 0.0000 0.0000
-2.7231 4.7165 0.0000
0.0000 0.0000 9.0493
Pu Zn Sb O
2 2 2 12
Direct
0.3333 0.6667 0.2500
0.6667 0.3333 0.7500
0.0000 0.0000 0.0000
0.0000 0.0000 0.5000
0.3333 0.6667 0.7500
0.6667 0.3333 0.2500
0.0176 0.3521 0.6300
0.0176 0.6655 0.8700
0.3345 0.3521 0.8700
0.3345 0.9824 0.6300
0.3521 0.0176 0.1300
0.3521 0.3345 0.3700
0.6479 0.6655 0.6300
0.6479 0.9824 0.8700
0.6655 0.0176 0.3700
0.6655 0.6479 0.1300
0.9824 0.3345 0.1300
0.9824 0.6479 0.3700

PuZrSbO6 | Alexandria | PBE | optimized geometry; raw formation energy = -2.458 eV/atom; volume = 128.7 Å³/f.u.; symmetry = P-31c; uncorrected energy = -157.7 eV/cell
1.0
5.4629 0.0000 0.0000
-2.7314 4.7310 0.0000
0.0000 0.0000 9.9607
Pu Zr Sb O
2 2 2 12
Direct
0.0000 0.0000 0.0000
0.0000 0.0000 0.5000
0.3333 0.6667 0.2500
0.6667 0.3333 0.7500
0.3333 0.6667 0.7500
0.6667 0.3333 0.2500
0.0148 0.3650 0.6384
0.0148 0.6498 0.8616
0.3502 0.3650 0.8616
0.3502 0.9852 0.6384
0.3650 0.0148 0.1384
0.3650 0.3502 0.3616
0.6350 0.6498 0.6384
0.6350 0.9852 0.8616
0.6498 0.0148 0.3616
0.6498 0.6350 0.1384
0.9852 0.3502 0.1384
0.9852 0.6350 0.3616

PuScO5 | Alexandria | PBE | optimized geometry; raw formation energy = -2.668 eV/atom; volume = 100.4 Å³/f.u.; symmetry = C2/c; uncorrected energy = -128.3 eV/cell
1.0
4.4879 -3.1332 0.0000
4.4879 3.1332 0.0000
-3.6478 0.0000 7.1410
Pu Sc O
2 2 10
Direct
0.0000 0.0000 0.0000
0.0000 0.0000 0.5000
0.4674 0.5326 0.7500
0.5326 0.4674 0.2500
0.1363 0.8637 0.7500
0.2174 0.2567 0.6259
0.2567 0.2174 0.1259
0.2909 0.6830 0.0530
0.3170 0.7091 0.4470
0.6830 0.2909 0.5530
0.7091 0.3170 0.9470
0.7433 0.7826 0.8741
0.7826 0.7433 0.3741
0.8637 0.1363 0.2500

PuScO2 | Alexandria | PBE | optimized geometry; raw formation energy = -2.603 eV/atom; volume = 53.8 Å³/f.u.; symmetry = R3m; uncorrected energy = -41.0 eV/cell
1.0
1.6029 0.9254 6.0496
-1.6029 0.9254 6.0496
0.0000 -1.8509 6.0496
Pu Sc O
1 1 2
Direct
0.0000 0.0000 0.0000
0.1741 0.1741 0.1741
0.5695 0.5695 0.5695
0.7742 0.7742 0.7742